(1)
Compound: CsAg3Pd
Source: Alexandria
Functional: GGA-PBE
Structure: optimized geometry

The structure in POSCAR format:
```
CsAg3Pd
1.0
6.031 0.000 0.000
0.000 6.031 0.000
0.000 0.000 6.031
Cs Ag Pd
1 3 1
Cartesian
0.000 0.000 0.000 Cs
0.000 0.000 3.016 Ag
0.000 3.016 0.000 Ag
3.016 0.000 0.000 Ag
3.016 3.016 3.016 Pd
```

**ΔE_f**: 1.64 eV/atom
**Crystal system**: cubic
**V**: 219 Å³/cell
**Total magnetization**: 0.000 μB per formula unit
**Fermi-level density of states**: 16.37 states/eV/f.u.
**Density**: 4.3 g/cm3

(2)
Compound: TcMo2P
Source: Alexandria
Functional: GGA-PBE
Structure: optimized geometry

The structure in POSCAR format:
```
TcMo2P
1.0
0.000 3.062 3.062
3.062 0.000 3.062
3.062 3.062 0.000
Tc Mo P
1 2 1
Cartesian
0.000 0.000 0.000 Tc
1.531 1.531 1.531 Mo
3.062 3.062 3.062 Mo
4.593 4.593 4.593 P
```

**ΔE_f**: 0.07 eV/atom
**Crystal system**: cubic
**V**: 57 Å³/cell
**Total magnetization**: 0.000 μB per formula unit
**Fermi-level density of states**: 3.66 states/eV/f.u.
**Density**: 9.3 g/cm3

(3)
Compound: SrTl2Cu
Source: Alexandria
Functional: GGA-PBE
Structure: optimized geometry

The structure in POSCAR format:
```
SrTl2Cu
1.0
4.130 0.000 0.000
0.000 4.440 0.000
-1.775 0.000 6.191
Sr Tl Cu
1 2 1
Cartesian
0.000 0.000 0.000 Sr
0.152 2.220 4.363 Tl
2.203 2.220 1.828 Tl
1.178 0.000 3.095 Cu
```

**ΔE_f**: -0.07 eV/atom
**Crystal system**: monoclinic
**V**: 114 Å³/cell
**Total magnetization**: 0.000 μB per formula unit
**Fermi-level density of states**: 1.85 states/eV/f.u.
**Density**: 8.2 g/cm3

(4)
Compound: YZr2Pa
Source: Alexandria
Functional: GGA-PBE
Structure: optimized geometry

The structure in POSCAR format:
```
YZr2Pa
1.0
1.654 0.955 10.867
-1.654 0.955 10.867
0.000 -1.910 10.867
Y Zr Pa
1 2 1
Cartesian
0.000 0.000 0.000 Y
0.000 0.000 8.038 Zr
0.000 0.000 24.563 Zr
0.000 0.000 16.301 Pa
```

**ΔE_f**: 0.15 eV/atom
**Crystal system**: trigonal
**Relative energy among the computed polymorphs**: 44.1 meV/atom
**V**: 103 Å³/cell
**Total magnetization**: 0.000 μB per formula unit
**Fermi-level density of states**: 6.84 states/eV/f.u.
**Density**: 8.1 g/cm3

(5)
Compound: Tb2Dy5ErSc
Source: Alexandria
Functional: GGA-PBE
Structure: optimized geometry

The structure in POSCAR format:
```
Tb2Dy5ErSc
1.0
2.754 -9.962 0.000
2.754 9.962 0.000
0.000 0.000 10.318
Tb Dy Er Sc
4 10 2 2
Cartesian
2.754 7.738 5.159 Tb
2.754 7.683 9.539 Tb
2.754 -7.683 4.381 Tb
2.754 -7.738 0.000 Tb
2.754 9.625 2.103 Dy
2.754 4.488 5.246 Dy
2.754 3.984 9.208 Dy
2.754 2.488 2.150 Dy
2.754 0.344 9.582 Dy
2.754 -0.344 4.423 Dy
2.754 -2.488 7.309 Dy
2.754 -3.984 4.049 Dy
2.754 -4.488 0.087 Dy
2.754 -9.625 7.261 Dy
2.754 1.840 6.659 Er
2.754 -1.840 1.501 Er
2.754 6.083 2.095 Sc
2.754 -6.083 7.254 Sc
```

**ΔE_f**: 0.16 eV/atom
**Crystal system**: orthorhombic
**V**: 566 Å³/cell
**Total magnetization**: 0.001 μB per formula unit
**Fermi-level density of states**: 14.48 states/eV/f.u.
**Density**: 7.9 g/cm3

(6)
Compound: OsBrO3
Source: Alexandria
Functional: GGA-PBE
Structure: optimized geometry

The structure in POSCAR format:
```
OsBrO3
1.0
4.007 0.000 0.000
0.000 4.007 0.000
0.000 0.000 4.007
Os Br O
1 1 3
Cartesian
0.000 0.000 0.000 Os
2.004 2.004 2.004 Br
0.000 2.004 2.004 O
2.004 0.000 2.004 O
2.004 2.004 0.000 O
```

**E_tot**: -19.86 eV per cell
**Crystal system**: cubic
**V**: 64 Å³/cell
**Total magnetization**: 4.219 μB per formula unit
**Fermi-level density of states**: 4.15 states/eV/f.u.
**Density**: 8.2 g/cm3

(7)
Compound: LiTbPa2O8
Source: Alexandria
Functional: GGA-PBE
Structure: optimized geometry

The structure in POSCAR format:
```
LiTbPa2O8
1.0
5.691 0.000 0.000
-2.846 4.929 0.000
0.000 0.000 5.523
Li Tb Pa O
1 1 2 8
Cartesian
0.000 0.000 0.000 Li
0.000 0.000 2.761 Tb
0.000 3.286 5.001 Pa
2.846 1.643 0.522 Pa
-0.622 1.625 1.015 O
-1.127 4.655 1.015 O
1.097 1.351 4.508 O
0.000 3.286 3.050 O
2.846 1.643 2.473 O
1.749 3.578 1.015 O
3.973 0.274 4.508 O
3.467 3.304 4.508 O
```

**E_tot**: -96.44 eV per cell
**Crystal system**: trigonal
**V**: 155 Å³/cell
**Total magnetization**: 2.066 μB per formula unit
**Fermi-level density of states**: 5.46 states/eV/f.u.
**Density**: 8.1 g/cm3

(8)
Compound: SrHfSi2
Source: Alexandria
Functional: GGA-PBE
Structure: optimized geometry

The structure in POSCAR format:
```
SrHfSi2
1.0
0.000 3.504 3.504
3.504 0.000 3.504
3.504 3.504 0.000
Sr Hf Si
1 1 2
Cartesian
0.000 0.000 0.000 Sr
3.504 3.504 3.504 Hf
1.752 1.752 1.752 Si
5.255 5.255 5.255 Si
```

**Crystal system**: cubic
**Relative energy among the computed polymorphs**: 0.0 meV/atom
**V**: 86 Å³/cell
**Total magnetization**: 0.000 μB per formula unit
**Fermi-level density of states**: 5.13 states/eV/f.u.
**Density**: 6.2 g/cm3